U2In3Sn3 | PBEsol | relaxed

The value obtained for the total moment is 4.41 Bohr magnetons per cell. As for the energy of formation from the pure elements: -0.067 eV per atom.

The space group is Pmmm (No. 47) and the conventional cell measures 4.542, 4.654 and 8.839 Å, with angles of 90.00, 90.00 and 90.00 degrees. Symmetry generates all atoms from U at (0.000, 0.000, 0.246), In at (0.000, 0.500, 0.500), In at (0.500, 0.500, 0.253), Sn at (0.000, 0.500, 0.000), Sn at (0.500, 0.000, 0.000) and Sn at (0.500, 0.000, 0.500).